Version 1
This record from the Alexandria database describes a geometry-optimized KCa2Cl structure. The functional is PBE-GGA.

Results
The calculation puts the mass density at 1.6 g cm⁻³. As for the spin magnetization: 0.00 μB per formula unit.

abc: 6.9610 6.9610 7.1306
angles: 61.67 61.67 31.57
Positions (direct):
Ca1 0.0299 0.0299 0.0062
Ca2 0.8303 0.8303 0.7512
K1 0.1907 0.1907 0.3647
Cl1 0.4492 0.4492 0.3779

Version 2
This record from the Alexandria database describes a geometry-optimized KCa2Cl structure. The functional is PBE-GGA.

Results
The calculation puts the mass density at 1.5 g cm⁻³. As for the spin magnetization: 0.00 μB per formula unit.

abc: 6.2314 6.2314 6.2314
angles: 60.00 60.00 60.00
Positions (direct):
Ca1 0.2500 0.2500 0.2500
Ca2 0.7500 0.7500 0.7500
K1 0.5000 0.5000 0.5000
Cl1 0.0000 0.0000 0.0000

Version 3
This record from the Alexandria database describes a geometry-optimized KCa2Cl structure. The functional is PBE-GGA.

Results
The calculation puts the mass density at 1.7 g cm⁻³. As for the spin magnetization: 0.00 μB per formula unit.

abc: 3.6950 3.6950 11.1705
angles: 90.00 90.00 90.00
Positions (direct):
Ca1 0.0000 0.0000 0.0569
Ca2 0.0000 0.0000 0.4431
K1 0.5000 0.5000 0.7500
Cl1 0.5000 0.5000 0.2500

Stability ranking, top entry: version 1; the second entry is 0.163 eV/atom less favorable.

Version 1
This record from the Alexandria database describes a geometry-optimized KCa2Cl structure. The functional is PBE-GGA.

Results
The calculation puts the mass density at 1.7 g cm⁻³. As for the spin magnetization: 0.00 μB per formula unit.

abc: 11.5995 11.5995 11.5995
angles: 19.60 19.60 19.60
Positions (direct):
Ca1 0.9787 0.9787 0.9787
Ca2 0.5213 0.5213 0.5213
K1 0.7500 0.7500 0.7500
Cl1 0.2500 0.2500 0.2500

Version 2
This record from the Alexandria database describes a geometry-optimized KCa2Cl structure. The functional is PBE-GGA.

Results
The calculation puts the mass density at 1.5 g cm⁻³. As for the spin magnetization: 0.00 μB per formula unit.

abc: 7.7354 7.7354 7.7354
angles: 142.92 142.92 53.45
Positions (direct):
Ca1 0.0000 0.0000 0.0000
Ca2 0.5000 0.5000 0.0000
K1 0.7500 0.2500 0.5000
Cl1 0.2500 0.7500 0.5000

Stability ranking, top entry: version 1; the second entry is 0.242 eV/atom less favorable.

Version 1
This record from the Alexandria database describes a geometry-optimized KCa2Cl structure. The functional is PBE-GGA.

Results
The calculation puts the mass density at 1.6 g cm⁻³. As for the spin magnetization: 0.00 μB per formula unit.

abc: 3.9288 5.7910 7.1746
angles: 90.00 90.00 90.00
Positions (direct):
Ca1 0.0000 0.0000 0.0098
Ca2 0.0000 0.0000 0.4902
K1 0.5000 0.5000 0.7500
Cl1 0.5000 0.5000 0.2500

Version 2
This record from the Alexandria database describes a geometry-optimized KCa2Cl structure. The functional is PBE-GGA.

Results
The calculation puts the mass density at 1.5 g cm⁻³. As for the spin magnetization: 0.00 μB per formula unit.

abc: 6.2816 6.2816 6.2816
angles: 60.00 60.00 60.00
Positions (direct):
Ca1 0.0000 0.0000 0.0000
Ca2 0.2500 0.2500 0.2500
K1 0.7500 0.7500 0.7500
Cl1 0.5000 0.5000 0.5000

Version 3
This record from the Alexandria database describes a geometry-optimized KCa2Cl structure. The functional is PBE-GGA.

Results
The calculation puts the mass density at 1.7 g cm⁻³. As for the spin magnetization: 0.00 μB per formula unit.

abc: 3.9305 3.9305 11.0779
angles: 90.00 90.00 115.89
Positions (direct):
Ca1 0.0000 0.0000 0.0231
Ca2 0.5000 0.5000 0.3010
K1 0.5000 0.5000 0.6966
Cl1 0.0000 0.0000 0.4793

Stability ranking, top entry: version 3; the second entry is 0.484 eV/atom less favorable.

Version 1
This record from the Alexandria database describes a geometry-optimized KCa2Cl structure. The functional is PBE-GGA.

Results
The calculation puts the mass density at 1.6 g cm⁻³. As for the spin magnetization: 0.00 μB per formula unit.

abc: 6.9487 6.9487 3.8872
angles: 90.00 90.00 119.14
Positions (direct):
Ca1 0.0000 0.0000 0.0000
Ca2 0.5000 0.5000 0.0000
K1 0.0000 0.5000 0.5000
Cl1 0.5000 0.0000 0.5000

Version 2
This record from the Alexandria database describes a geometry-optimized KCa2Cl structure. The functional is PBE-GGA.

Results
The calculation puts the mass density at 1.1 g cm⁻³. As for the spin magnetization: 0.00 μB per formula unit.

abc: 7.5335 7.5335 9.5716
angles: 66.83 66.83 90.00
Positions (direct):
Ca1 0.3816 0.1250 0.2500
Ca2 0.3684 0.6250 0.2500
Ca3 0.3750 0.6184 0.7500
Ca4 0.8750 0.6316 0.7500
K1 0.0000 0.0000 0.0000
K2 0.7500 0.2500 0.5000
Cl1 0.5000 0.5000 0.0000
Cl2 0.2500 0.7500 0.5000

Stability ranking, top entry: version 2; the second entry is 0.146 eV/atom less favorable.

Version 1
This record from the Alexandria database describes a geometry-optimized KCa2Cl structure. The functional is PBE-GGA.

Results
The calculation puts the mass density at 1.6 g cm⁻³. As for the spin magnetization: 0.00 μB per formula unit.

abc: 3.8309 4.0059 10.4250
angles: 78.91 90.00 90.00
Positions (direct):
Ca1 0.0000 0.0523 0.0231
Ca2 0.5000 0.4172 0.2915
K1 0.5000 0.7223 0.6793
Cl1 0.0000 0.3082 0.5062

Version 2
This record from the Alexandria database describes a geometry-optimized KCa2Cl structure. The functional is PBE-GGA.

Results
The calculation puts the mass density at 1.5 g cm⁻³. As for the spin magnetization: 0.00 μB per formula unit.

abc: 4.8663 4.8663 7.1956
angles: 90.00 90.00 90.00
Positions (direct):
Ca1 0.0000 0.0000 0.0000
Ca2 0.5000 0.5000 0.0000
K1 0.0000 0.5000 0.5000
Cl1 0.5000 0.0000 0.5000

Stability ranking, top entry: version 1; the second entry is 0.400 eV/atom less favorable.

Version 1
This record from the Alexandria database describes a geometry-optimized KCaP2Cl structure. The functional is PBE-GGA.

Results
The calculation puts the mass density at 1.9 g cm⁻³. As for the spin magnetization: 1.34 μB per formula unit.

abc: 5.3176 5.3176 5.4627
angles: 90.00 90.00 90.00
Each line ends with the local moment (μB).
Positions (direct):
P1 0.0000 0.5000 0.0000  0.26
P2 0.5000 0.0000 0.0000  0.26
Ca1 0.5000 0.5000 0.5000  0.00
K1 0.0000 0.0000 0.0000  0.04
Cl1 0.0000 0.0000 0.5000  0.08

Version 2
This record from the Alexandria database describes a geometry-optimized KCaP2Cl structure. The functional is PBE-GGA.

Results
The calculation puts the mass density at 1.7 g cm⁻³. As for the spin magnetization: 2.12 μB per formula unit.

abc: 5.5418 5.5418 5.4579
angles: 90.00 90.00 90.00
Each line ends with the local moment (μB).
Positions (direct):
P1 0.0000 0.5000 0.0000  0.39
P2 0.5000 0.0000 0.0000  0.39
Ca1 0.0000 0.0000 0.0000  0.00
K1 0.5000 0.5000 0.5000  0.01
Cl1 0.0000 0.0000 0.5000  0.10

Stability ranking, top entry: version 2; the second entry is 0.676 eV/atom less favorable.